1.
VASP calculation (PBE-GGA) on a relaxed Ca3PuNp3N8 crystal.

a b c (Å): 6.9628 6.9628 16.9919
angles (deg): 90.00 90.00 120.00
Space group R-3m (No. 166, hexagonal axes)
Symmetry-distinct sites (fractional):
Ca 0.0000 0.5000 0.0000 [9 per cell]
Pu 0.0000 0.0000 0.5000 [3 per cell]
Np 0.0000 0.5000 0.5000 [9 per cell]
N 0.0000 0.0000 0.2404 [6 per cell]
N 0.0065 0.5033 0.2304 [18 per cell]

The volume is 15.9 A^3/atom. The final energy is -9.4086 eV/atom. The calculation puts the uncorrected formation energy at -1.024 eV per atom.

***

2.
VASP calculation (PBE-GGA) on a relaxed RbTlPb crystal.

a b c (Å): 13.6899 6.5560 5.5995
angles (deg): 90.00 90.00 90.00
Space group Pnma (No. 62)
Symmetry-distinct sites (fractional):
Rb 0.2231 0.2500 0.0025 [4 per cell]
Tl 0.0000 0.0000 0.5000 [4 per cell]
Pb 0.0549 0.7500 0.0004 [4 per cell]

The volume is 41.9 A^3/atom. The final energy is -2.4064 eV/atom. The energy relative to the elements comes out at -0.06 eV per atom.

***

3.
VASP calculation (PBE-GGA) on a relaxed RbCd4Ag3F12 crystal.

a b c (Å): 8.6844 8.6844 8.6844
angles (deg): 90.00 90.00 90.00
Space group Im-3 (No. 204)
Symmetry-distinct sites (fractional):
Rb 0.0000 0.0000 0.0000 [2 per cell]
Cd 0.2500 0.2500 0.2500 [8 per cell]
Ag 0.0000 0.0000 0.5000 [6 per cell]
F 0.0000 0.2959 0.1893 [24 per cell]

The volume is 16.4 A^3/atom. The final energy is -3.6683 eV/atom. The calculation puts the uncorrected formation energy at -1.886 eV per atom.

***

4.
VASP calculation (PBE-GGA) on a relaxed Cs2Rb2H4Rh crystal.

a b c (Å): 7.5267 7.5267 9.2063
angles (deg): 90.00 90.00 90.00
Space group I4/mmm (No. 139)
Symmetry-distinct sites (fractional):
Cs 0.0000 0.5000 0.2500 [4 per cell]
Rb 0.0000 0.0000 0.1886 [4 per cell]
H 0.1623 0.1623 0.5000 [8 per cell]
Rh 0.0000 0.0000 0.5000 [2 per cell]

The volume is 29.0 A^3/atom. The final energy is -2.6909 eV/atom.

***

5.
VASP calculation (PBE-GGA) on a relaxed CsK2Sb2Au crystal.

a b c (Å): 5.6540 5.6540 18.7091
angles (deg): 90.00 90.00 90.00
Space group I4/mmm (No. 139)
Symmetry-distinct sites (fractional):
Cs 0.0000 0.0000 0.0000 [2 per cell]
K 0.0000 0.5000 0.2500 [4 per cell]
Sb 0.0000 0.0000 0.3635 [4 per cell]
Au 0.0000 0.0000 0.5000 [2 per cell]

The volume is 49.8 A^3/atom. The final energy is -2.6731 eV/atom. The calculation puts the uncorrected formation energy at -0.245 eV per atom.

***

6.
VASP calculation (PBE-GGA) on a relaxed InAg3Se3 crystal.

a b c (Å): 6.8885 6.8134 15.0484
angles (deg): 90.00 91.41 90.00
Space group P2_1/c (No. 14)
Symmetry-distinct sites (fractional):
In 0.1436 0.1210 0.4143 [4 per cell]
Ag 0.1861 0.2231 0.1706 [4 per cell]
Ag 0.3994 0.6040 0.5666 [4 per cell]
Ag 0.4283 0.5484 0.2698 [4 per cell]
Se 0.2141 0.0072 0.9130 [4 per cell]
Se 0.2244 0.5795 0.7710 [4 per cell]
Se 0.2373 0.5339 0.0750 [4 per cell]

The volume is 25.2 A^3/atom. The final energy is -3.3264 eV/atom. The calculation puts the uncorrected formation energy at -0.220 eV per atom.

***

7.
VASP calculation (PBE-GGA) on a relaxed CsHfNi2 crystal.

a b c (Å): 6.8479 6.8479 6.8479
angles (deg): 90.00 90.00 90.00
Space group Fm-3m (No. 225)
Symmetry-distinct sites (fractional):
Cs 0.0000 0.0000 0.0000 [4 per cell]
Hf 0.0000 0.0000 0.5000 [4 per cell]
Ni 0.2500 0.2500 0.2500 [8 per cell]

The volume is 20.1 A^3/atom. The final energy is -4.5851 eV/atom. Its excess energy over the best structure of this formula in the dataset is 0.64 eV per formula unit. The energy relative to the elements comes out at 1.01 eV per atom.

***

8.
VASP calculation (PBE-GGA) on a relaxed Tc2AsAu crystal.

a b c (Å): 2.8502 2.8502 28.0911
angles (deg): 90.00 90.00 120.00
Space group R3m (No. 160, hexagonal axes)
Symmetry-distinct sites (fractional):
Tc 0.0000 0.0000 0.0000 [3 per cell]
Tc 0.0000 0.0000 0.2601 [3 per cell]
As 0.0000 0.0000 0.7411 [3 per cell]
Au 0.0000 0.0000 0.5068 [3 per cell]

The volume is 16.5 A^3/atom. The final energy is -7.0251 eV/atom. The energy relative to the elements comes out at 0.14 eV per atom.

***

9.
VASP calculation (PBE-GGA) on a relaxed HgRh crystal.

a b c (Å): 4.6875 4.6875 7.9899
angles (deg): 90.00 90.00 120.00
Space group P6_3/mmc (No. 194)
Symmetry-distinct sites (fractional):
Hg 0.0000 0.0000 0.2500 [2 per cell]
Hg 0.3333 0.6667 0.2500 [2 per cell]
Rh 0.3333 0.6667 0.5874 [4 per cell]

The volume is 19.0 A^3/atom. The final energy is -3.3178 eV/atom. The energy relative to the elements comes out at 0.51 eV per atom.

***

10.
VASP calculation (PBE-GGA) on a relaxed Cd2SbMo crystal.

a b c (Å): 4.2775 4.2775 8.8447
angles (deg): 90.00 90.00 90.00
Space group I-4m2 (No. 119)
Symmetry-distinct sites (fractional):
Cd 0.0000 0.0000 0.0000 [2 per cell]
Cd 0.0000 0.5000 0.2500 [2 per cell]
Sb 0.0000 0.0000 0.5000 [2 per cell]
Mo 0.0000 0.5000 0.7500 [2 per cell]

The volume is 20.2 A^3/atom. The final energy is -3.8051 eV/atom. The calculation puts the uncorrected formation energy at 0.391 eV per atom.

***

11.
VASP calculation (PBE-GGA) on a relaxed TlTc2Se crystal.

a b c (Å): 3.1135 4.5389 5.1414
angles (deg): 90.00 90.00 90.00
Space group Pmmm (No. 47)
Symmetry-distinct sites (fractional):
Tl 0.0000 0.0000 0.0000 [1 per cell]
Tc 0.0000 0.5000 0.5000 [1 per cell]
Tc 0.5000 0.5000 0.0000 [1 per cell]
Se 0.5000 0.0000 0.5000 [1 per cell]

The volume is 18.2 A^3/atom. The final energy is -5.8091 eV/atom. Its excess energy over the best structure of this formula in the dataset is 2.52 eV per formula unit. The calculation puts the uncorrected formation energy at 0.837 eV per atom.

***

12.
VASP calculation (PBE-GGA) on a relaxed ScNbV crystal.

a b c (Å): 2.8822 5.6660 6.9922
angles (deg): 98.34 98.51 100.60
Space group P-1 (No. 2)
Symmetry-distinct sites (fractional):
Sc 0.0886 0.3140 0.3202 [2 per cell]
Nb 0.3122 0.8259 0.3001 [2 per cell]
V 0.5000 0.0000 0.0000 [1 per cell]
V 0.5000 0.5000 0.0000 [1 per cell]

The volume is 18.2 A^3/atom. The final energy is -8.2789 eV/atom. Its excess energy over the best structure of this formula in the dataset is 0.33 eV per formula unit. The energy relative to the elements comes out at 0.23 eV per atom.

***

13.
VASP calculation (PBE-GGA) on a relaxed Mg4FePb crystal.

a b c (Å): 8.1134 8.1134 8.1134
angles (deg): 90.00 90.00 90.00
Space group F-43m (No. 216)
Symmetry-distinct sites (fractional):
Mg 0.1244 0.1244 0.3756 [16 per cell]
Fe 0.2500 0.2500 0.7500 [4 per cell]
Pb 0.0000 0.0000 0.0000 [4 per cell]

The volume is 22.3 A^3/atom. The final energy is -2.7095 eV/atom. Its excess energy over the best structure of this formula in the dataset is 1.88 eV per formula unit. The energy relative to the elements comes out at 0.38 eV per atom.

***

14.
VASP calculation (PBE-GGA) on a relaxed H4PtCl crystal.

a b c (Å): 3.0037 4.9142 5.6565
angles (deg): 95.69 97.09 90.13
Space group P1 (No. 1)
Symmetry-distinct sites (fractional):
H 0.0000 0.0000 0.0000 [1 per cell]
H 0.0600 0.7621 0.2638 [1 per cell]
H 0.4859 0.6411 0.9462 [1 per cell]
H 0.5770 0.5103 0.3344 [1 per cell]
Pt 0.5323 0.8885 0.1423 [1 per cell]
Cl 0.6080 0.2886 0.4631 [1 per cell]

The volume is 13.7 A^3/atom. The final energy is -3.5660 eV/atom.

***

15.
VASP calculation (PBE-GGA) on a relaxed TlReSb4 crystal.

a b c (Å): 8.8228 8.8228 8.8228
angles (deg): 90.00 90.00 90.00
Space group F-43m (No. 216)
Symmetry-distinct sites (fractional):
Tl 0.0000 0.0000 0.0000 [4 per cell]
Re 0.2500 0.2500 0.7500 [4 per cell]
Sb 0.1238 0.1238 0.3762 [16 per cell]

The volume is 28.6 A^3/atom. The final energy is -4.1661 eV/atom. The calculation puts the uncorrected formation energy at 1.051 eV per atom.

***

16.
VASP calculation (PBE-GGA) on a relaxed Na2SnC crystal.

a b c (Å): 10.1367 10.1367 4.4046
angles (deg): 90.00 90.00 90.00
Space group I-42d (No. 122)
Symmetry-distinct sites (fractional):
Na 0.0578 0.2500 0.1250 [8 per cell]
Sn 0.0000 0.0000 0.5000 [4 per cell]
C 0.0000 0.0000 0.0000 [4 per cell]

The volume is 28.3 A^3/atom. The final energy is -3.2160 eV/atom. Its excess energy over the best structure of this formula in the dataset is 0.00 eV per formula unit. The energy relative to the elements comes out at 0.75 eV per atom.

***

17.
VASP calculation (PBE-GGA) on a relaxed Pm4SnSe2 crystal.

a b c (Å): 4.3031 13.5819 14.1109
angles (deg): 90.00 90.00 90.00
Space group Cmcm (No. 63)
Symmetry-distinct sites (fractional):
Pm 0.0000 0.0000 0.0000 [4 per cell]
Pm 0.0000 0.2710 0.1221 [8 per cell]
Pm 0.0000 0.4416 0.7500 [4 per cell]
Sn 0.0000 0.1084 0.7500 [4 per cell]
Se 0.0000 0.3641 0.5605 [8 per cell]

The volume is 29.5 A^3/atom. The final energy is -5.5716 eV/atom. Its excess energy over the best structure of this formula in the dataset is 0.00 eV per formula unit. The calculation puts the uncorrected formation energy at -1.290 eV per atom.

***

18.
VASP calculation (PBE-GGA) on a relaxed LiMnSb4 crystal.

a b c (Å): 8.8049 8.8049 8.8049
angles (deg): 90.00 90.00 90.00
Space group F-43m (No. 216)
Symmetry-distinct sites (fractional):
Li 0.0000 0.0000 0.0000 [4 per cell]
Mn 0.2500 0.2500 0.7500 [4 per cell]
Sb 0.1247 0.1247 0.3753 [16 per cell]

The volume is 28.4 A^3/atom. The final energy is -4.2127 eV/atom. The calculation puts the uncorrected formation energy at 0.383 eV per atom.

***

19.
VASP calculation (PBE-GGA) on a relaxed Hf2Nb2Re crystal.

a b c (Å): 6.2247 8.8656 7.6010
angles (deg): 90.00 111.39 90.00
Space group C2/m (No. 12)
Symmetry-distinct sites (fractional):
Hf 0.1667 0.1855 0.2116 [8 per cell]
Nb 0.1175 0.5000 0.3882 [4 per cell]
Nb 0.2327 0.5000 0.0824 [4 per cell]
Re 0.0000 0.1704 0.5000 [4 per cell]

The volume is 19.5 A^3/atom. The final energy is -10.4459 eV/atom. Its excess energy over the best structure of this formula in the dataset is 0.95 eV per formula unit. The energy relative to the elements comes out at 0.05 eV per atom.

***

20.
VASP calculation (PBE-GGA) on a relaxed Pr12Nd5Ho crystal.

a b c (Å): 15.6655 15.6811 5.2292
angles (deg): 90.00 90.00 90.00
Space group Cmmm (No. 65)
Symmetry-distinct sites (fractional):
Pr 0.0000 0.1649 0.0000 [4 per cell]
Pr 0.0000 0.3334 0.5000 [4 per cell]
Pr 0.1659 0.1654 0.5000 [8 per cell]
Pr 0.1669 0.3336 0.0000 [8 per cell]
Nd 0.0000 0.5000 0.0000 [2 per cell]
Nd 0.1655 0.0000 0.0000 [4 per cell]
Nd 0.1670 0.5000 0.5000 [4 per cell]
Ho 0.0000 0.0000 0.5000 [2 per cell]

The volume is 35.7 A^3/atom. The final energy is -4.7525 eV/atom. The energy relative to the elements comes out at 0.01 eV per atom.